No. 1
Computed, not measured: a relaxed Na3Zn9Cu2 crystal at the PBE level of DFT.

Lattice parameters (Å, degrees): 4.3031 9.3465 12.3804 90.00 90.00 90.00
With the nearest neighbours (Å) after each atom.
Space group Immm (No. 71)
Symmetry-distinct sites (fractional):
Na  0.0000  0.0000  0.0000 (multiplicity 2)  12 Zn 3.01-3.27
Na  0.0000  0.0000  0.3004 (multiplicity 4)  2 Cu 3.01, 12 Zn 3.03-3.35
Zn  0.0000  0.2796  0.1204 (multiplicity 8)  4 Zn 2.54-2.73, 2 Cu 2.64
Zn  0.0000  0.3555  0.3331 (multiplicity 8)  4 Zn 2.56-2.73, 1 Cu 2.62
Zn  0.0000  0.5000  0.0000 (multiplicity 2)  4 Zn 2.54, 4 Cu 2.75
Cu  0.0000  0.1832  0.5000 (multiplicity 4)  8 Zn 2.62-2.75

## Properties
energy of formation	0.003	eV/atom
calculated total energy	-47.16	eV per cell

No. 2
Computed, not measured: a relaxed PmDy2Se5 crystal at the PBE level of DFT.

Lattice parameters (Å, degrees): 7.6465 7.6465 13.2053 90.00 90.00 90.00
With the nearest neighbours (Å) after each atom.
Space group I4/mcm (No. 140)
Symmetry-distinct sites (fractional):
Pm  0.0000  0.0000  0.2500 (multiplicity 4)  10 Se 3.20-3.30
Dy  0.1556  0.3444  0.0000 (multiplicity 8)  8 Se 2.82-3.06
Se  0.0000  0.0000  0.0000 (multiplicity 4)  4 Dy 2.89
Se  0.1549  0.3451  0.3535 (multiplicity 16)  3 Dy 2.82-3.06

## Properties
calculated total energy	-177.45	eV per cell
E_form (uncorrected)	-1253	kJ/mol of formula units

No. 3
Computed, not measured: a relaxed La2Pm5Tm2 crystal at the PBE level of DFT.

Lattice parameters (Å, degrees): 22.2574 3.5429 8.3468 90.00 100.23 90.00
With the nearest neighbours (Å) after each atom.
Space group C2/m (No. 12)
Symmetry-distinct sites (fractional):
La  0.1764  0.0000  0.1481 (multiplicity 4)  2 La 3.54, 5 Pm 3.59-3.90
Pm  0.0000  0.0000  0.0000 (multiplicity 2)  4 Pm 3.28-3.54, 4 Tm 3.48
Pm  0.0927  0.0000  0.7347 (multiplicity 4)  5 Pm 3.28-3.54, 4 Tm 3.55-3.59, 1 La 3.62
Pm  0.1904  0.5000  0.5382 (multiplicity 4)  1 Tm 3.27, 6 Pm 3.34-3.54, 1 La 3.59
Tm  0.0475  0.5000  0.3591 (multiplicity 4)  7 Pm 3.27-3.59, 3 Tm 3.43-3.54

## Properties
energy of formation	0.206	eV/atom
calculated total energy	-81.40	eV per cell
energy above the lowest structure with this stoichiometry	0.199	kcal/mol of atoms

No. 4
Computed, not measured: a relaxed AlSn2C crystal at the PBE level of DFT.

Lattice parameters (Å, degrees): 5.8414 5.8414 10.7554 90.00 90.00 90.00
With the nearest neighbours (Å) after each atom.
Space group I-42d (No. 122)
Symmetry-distinct sites (fractional):
Al  0.0000  0.0000  0.0000 (multiplicity 4)  4 Sn 2.72
Sn  0.1822  0.2500  0.6250 (multiplicity 8)  2 C 2.25
C  0.0000  0.0000  0.5000 (multiplicity 4)  4 Sn 2.25

## Properties
energy of formation	0.705	eV/atom
calculated total energy	-72.61	eV per cell
energy above the lowest structure with this stoichiometry	0.000	kcal/mol of atoms

No. 5
Computed, not measured: a relaxed Tl2TcAg crystal at the PBE level of DFT.

Lattice parameters (Å, degrees): 4.3818 4.3818 19.3834 90.00 90.00 90.00
With the nearest neighbours (Å) after each atom.
Space group I-42d (No. 122)
Symmetry-distinct sites (fractional):
Tl  0.2398  0.2500  0.1250 (multiplicity 8)  2 Tc 2.86, 2 Ag 2.89, 4 Tl 3.04-3.16
Tc  0.0000  0.0000  0.0000 (multiplicity 4)  4 Tl 2.86, 4 Ag 3.10
Ag  0.0000  0.0000  0.5000 (multiplicity 4)  4 Tl 2.89, 4 Tc 3.10

## Properties
energy of formation	0.854	eV/atom
calculated total energy	-58.13	eV per cell
energy above the lowest structure with this stoichiometry	7.423	kcal/mol of atoms

Question: Among the records above, which one has the lowest calculated total energy?
Answer: PmDy2Se5

Question: Which value of calculated total energy does entry 2 give?
Answer: -177.45 eV per cell